[1]
Computed, not measured: crystalline SmRu2 at its relaxed geometry at the PBE-GGA level of DFT.

Output
N(E_F) = 1.173 states/eV per atom
Crystal system = hexagonal
Total energy = -23.93 eV/f.u.

abc: 5.2974 5.2973 9.1104
angles: 90.00 90.00 120.00
Element x y z (fractional)
Ru  0.1693  0.8306  0.7500
Sm  0.3333  0.6667  0.4332
Sm  0.3333  0.6667  0.0668
Ru  0.0000  0.0000  0.5000
Ru  0.8306  0.6613  0.2500
Sm  0.6667  0.3333  0.5668
Ru  0.8307  0.1694  0.2500
Ru  0.6613  0.8306  0.7500
Ru  0.1694  0.3387  0.7500
Sm  0.6667  0.3333  0.9332
Ru  0.3387  0.1694  0.2500
Ru  0.0000  0.0000  0.0000

[2]
Computed, not measured: crystalline Ti3Fe at its relaxed geometry at the PBE-GGA level of DFT.

Output
N(E_F) = 0.922 states/eV per atom
Crystal system = monoclinic
Total energy = -32.42 eV/f.u.

abc: 5.3137 5.3137 5.2839
angles: 91.07 91.07 122.66
Element x y z (fractional)
Ti  0.1059  0.3958  0.6664
Ti  0.3958  0.1059  0.6664
Fe  0.2372  0.7628  0.0000
Ti  0.8941  0.6042  0.3336
Ti  0.2536  0.2536  0.1338
Ti  0.6042  0.8941  0.3336
Ti  0.7464  0.7464  0.8662
Fe  0.7628  0.2372  0.0000

[3]
Computed, not measured: crystalline CaLuAl at its relaxed geometry at the PBE-GGA level of DFT.

Output
N(E_F) = 0.819 states/eV per atom
Energy above the lowest structure with this stoichiometry = 0.138 eV/atom
Crystal system = trigonal

abc: 3.4728 5.1856 5.1856
angles: 120.00 90.00 90.00
Element x y z (fractional)
Lu  0.3928  0.3333  0.6667
Al  0.6436  0.6667  0.3333
Ca  0.9635  0.0000  0.0000

[4]
Computed, not measured: crystalline TiCuSb at its relaxed geometry at the PBE-GGA level of DFT.

Output
Formation energy without anion corrections = -236 meV/atom
N(E_F) = 0.585 states/eV per atom
Crystal system = tetragonal

abc: 3.9366 3.9366 13.5992
angles: 90.00 90.00 90.00
Element x y z (fractional)
Ti  0.0000  0.0000  0.3419
Ti  0.0000  0.0000  0.6581
Sb  0.5000  0.5000  0.6402
Cu  0.0000  0.5000  0.5000
Ti  0.5000  0.5000  0.1581
Ti  0.5000  0.5000  0.8419
Sb  0.5000  0.5000  0.3598
Cu  0.5000  0.0000  0.5000
Sb  0.0000  0.0000  0.8598
Cu  0.5000  0.0000  0.0000
Cu  0.0000  0.5000  0.0000
Sb  0.0000  0.0000  0.1402

[5]
Computed, not measured: crystalline Er2NbGeN5 at its relaxed geometry at the PBE-GGA level of DFT.

Output
Formation energy without anion corrections = -1044 meV/atom
N(E_F) = 0.002 states/eV per atom
Crystal system = orthorhombic

abc: 3.1699 7.0186 10.0522
angles: 90.00 90.00 103.05
Element x y z (fractional)
N  0.9426  0.8851  0.5499
N  0.3713  0.7426  0.0099
N  0.6287  0.2574  0.5099
N  0.7024  0.4048  0.8644
N  0.5005  0.0010  0.7893
Er  0.1178  0.2357  0.7110
Ge  0.5100  0.0201  0.9737
Er  0.1286  0.2572  0.2778
N  0.7135  0.4271  0.1445
Nb  0.2261  0.4522  0.0034
N  0.4995  0.9990  0.2893
Ge  0.4900  0.9799  0.4737
Er  0.8822  0.7643  0.2110
N  0.2976  0.5952  0.3644
N  0.2865  0.5729  0.6445
N  0.0574  0.1149  0.0499
Nb  0.7739  0.5478  0.5034
Er  0.8714  0.7428  0.7778

[6]
Computed, not measured: crystalline CdAsCl at its relaxed geometry at the PBE-GGA level of DFT.

Output
Formation energy without anion corrections = -157 meV/atom
N(E_F) = 0.732 states/eV per atom
Energy above the lowest structure with this stoichiometry = 0.391 eV/atom
Crystal system = trigonal

abc: 3.4351 3.4351 7.4571
angles: 90.00 90.00 120.00
Element x y z (fractional)
Cl  0.3333  0.6667  0.5842
As  0.0000  0.0000  0.0661
Cd  0.6667  0.3333  0.3496

[7]
Computed, not measured: crystalline La4Ag5 at its relaxed geometry at the PBE-GGA level of DFT.

Output
N(E_F) = 0.935 states/eV per atom
Energy above the lowest structure with this stoichiometry = 0.022 eV/atom
Crystal system = tetragonal

abc: 7.3496 7.3496 7.3496
angles: 96.80 96.80 139.74
Element x y z (fractional)
Ag  0.3484  0.6516  0.0000
La  0.0000  0.6904  0.6904
La  0.0000  0.3096  0.3096
Ag  0.6516  0.3484  0.0000
La  0.6904  0.0000  0.6904
Ag  0.0000  0.0000  0.0000
Ag  0.6516  0.6516  0.3031
Ag  0.3484  0.3484  0.6969
La  0.3096  0.0000  0.3096

[8]
Computed, not measured: crystalline LaPr2Er at its relaxed geometry at the PBE-GGA level of DFT.

Output
N(E_F) = 2.802 states/eV per atom
Energy above the lowest structure with this stoichiometry = 0.129 eV/atom
Crystal system = cubic

abc: 5.8460 5.8460 5.8460
angles: 60.00 60.00 60.00
Element x y z (fractional)
Er  0.0000  0.0000  0.0000
La  0.5000  0.5000  0.5000
Pr  0.2500  0.2500  0.2500
Pr  0.7500  0.7500  0.7500

[9]
Computed, not measured: crystalline MgRuPt3 at its relaxed geometry at the PBE-GGA level of DFT.

Output
N(E_F) = 1.523 states/eV per atom
Energy above the lowest structure with this stoichiometry = 0.282 eV/atom
Crystal system = cubic

abc: 4.5514 4.5514 4.5514
angles: 90.00 90.00 90.00
Each line ends with the local moment (μB).
Element x y z (fractional)
Mg  0.0000  0.0000  0.0000  -0.01
Pt  0.0000  0.0000  0.5000  0.09
Pt  0.0000  0.5000  0.0000  0.20
Ru  0.5000  0.5000  0.5000  2.46
Pt  0.5000  0.0000  0.0000  0.36

[10]
Computed, not measured: crystalline HgPdSe2N at its relaxed geometry at the PBE-GGA level of DFT.

Output
Formation energy without anion corrections = 1429 meV/atom
N(E_F) = 0.761 states/eV per atom
Energy above the lowest structure with this stoichiometry = 0.720 eV/atom
Crystal system = tetragonal

abc: 5.3432 5.3432 4.0644
angles: 90.00 90.00 90.00
Each line ends with the local moment (μB).
Element x y z (fractional)
Pd  0.5000  0.5000  0.5000  0.19
N  0.0000  0.0000  0.5000  1.08
Hg  0.0000  0.0000  0.0000  0.06
Se  0.5000  0.0000  0.0000  0.22
Se  0.0000  0.5000  0.0000  0.22

[11]
Computed, not measured: crystalline Mg3CdAg at its relaxed geometry at the PBE-GGA level of DFT.

Output
N(E_F) = 0.451 states/eV per atom
Energy above the lowest structure with this stoichiometry = 0.287 eV/atom
Crystal system = cubic

abc: 5.1231 5.1231 5.1231
angles: 90.00 90.00 90.00
Element x y z (fractional)
Cd  0.5000  0.5000  0.5000
Mg  0.5000  0.0000  0.0000
Mg  0.0000  0.0000  0.5000
Ag  0.0000  0.0000  0.0000
Mg  0.0000  0.5000  0.0000

[12]
Computed, not measured: crystalline GdMgCu at its relaxed geometry at the PBE-GGA level of DFT.

Output
N(E_F) = 0.873 states/eV per atom
Crystal system = hexagonal
Total energy = -19.97 eV/f.u.

abc: 3.4763 4.6966 4.6966
angles: 120.00 90.00 90.00
Each line ends with the local moment (μB).
Element x y z (fractional)
Mg  0.1669  0.3333  0.6667  0.00
Cu  0.1665  0.0000  0.0000  0.01
Gd  0.6666  0.6667  0.3333  7.12

[13]
Computed, not measured: crystalline PrPuSe2N at its relaxed geometry at the PBE-GGA level of DFT.

Output
Formation energy without anion corrections = -1521 meV/atom
N(E_F) = 1.160 states/eV per atom
Crystal system = tetragonal

abc: 3.9922 3.9922 15.0577
angles: 90.00 90.00 90.00
Each line ends with the local moment (μB).
Element x y z (fractional)
Se  0.5000  0.0000  0.3230  -0.12
Pr  0.5000  0.0000  0.1361  -0.01
Pr  0.0000  0.5000  0.8639  -0.01
Se  0.0000  0.5000  0.0859  0.00
Se  0.0000  0.5000  0.6770  -0.12
Pu  0.5000  0.0000  0.5720  4.29
N  0.5000  0.5000  0.5000  -0.31
Pu  0.0000  0.5000  0.4280  4.29
N  0.0000  0.0000  0.5000  -0.31
Se  0.5000  0.0000  0.9141  0.00

[14]
Computed, not measured: crystalline HfNbAs at its relaxed geometry at the PBE-GGA level of DFT.

Output
N(E_F) = 0.427 states/eV per atom
Crystal system = monoclinic
Total energy = -26.54 eV/f.u.

abc: 3.5299 5.3413 6.6873
angles: 73.49 74.70 70.70
Element x y z (fractional)
As  0.3370  0.6462  0.6799
Hf  0.0694  0.2024  0.6588
Hf  0.9306  0.7976  0.3412
Nb  0.3512  0.2543  0.0433
Nb  0.6488  0.7457  0.9567
As  0.6630  0.3538  0.3201

[15]
Computed, not measured: crystalline KCaHg3 at its relaxed geometry at the PBE-GGA level of DFT.

Output
N(E_F) = 0.529 states/eV per atom
Energy above the lowest structure with this stoichiometry = 0.539 eV/atom
Crystal system = cubic

abc: 5.9644 5.9644 5.9644
angles: 90.00 90.00 90.00
Element x y z (fractional)
Hg  0.0000  0.5000  0.0000
Ca  0.5000  0.5000  0.5000
Hg  0.5000  0.0000  0.0000
Hg  0.0000  0.0000  0.5000
K  0.0000  0.0000  0.0000

[16]
Computed, not measured: crystalline K2Dy2TiS6 at its relaxed geometry at the PBE-GGA level of DFT.

Output
Formation energy without anion corrections = -1692 meV/atom
Crystal system = monoclinic

abc: 6.6633 6.6633 7.8619
angles: 98.52 98.52 119.37
Element x y z (fractional)
S  0.3729  0.0664  0.6917
S  0.7626  0.7626  0.6893
Ti  0.0000  0.0000  0.5000
Dy  0.6668  0.3332  0.5000
S  0.6271  0.9336  0.3083
Dy  0.3332  0.6668  0.5000
S  0.2374  0.2374  0.3107
K  0.8288  0.1712  0.0000
S  0.0664  0.3729  0.6917
K  0.1712  0.8288  0.0000
S  0.9336  0.6271  0.3083

[17]
Computed, not measured: crystalline SmPaCo2 at its relaxed geometry at the PBE-GGA level of DFT.

Output
N(E_F) = 1.248 states/eV per atom
Energy above the lowest structure with this stoichiometry = 0.294 eV/atom
Crystal system = tetragonal

abc: 3.3111 4.7735 4.7735
angles: 90.00 90.00 90.00
Element x y z (fractional)
Co  0.0000  0.5000  0.0000
Co  0.0000  0.0000  0.5000
Pa  0.5000  0.5000  0.5000
Sm  0.5000  0.0000  0.0000

[18]
Computed, not measured: crystalline TbDy6Er at its relaxed geometry at the PBE-GGA level of DFT.

Output
N(E_F) = 1.741 states/eV per atom
Energy above the lowest structure with this stoichiometry = 0.186 eV/atom
Crystal system = triclinic

abc: 6.6989 6.5053 6.8801
angles: 103.03 61.09 89.93
Element x y z (fractional)
Dy  0.5754  0.7693  0.5191
Dy  0.4246  0.2307  0.4809
Dy  0.4507  0.2509  0.0011
Dy  0.9047  0.2706  0.5229
Er  0.0000  0.5000  0.0000
Dy  0.0953  0.7294  0.4771
Dy  0.5493  0.7491  0.9989
Tb  0.0000  0.0000  0.0000

[19]
Computed, not measured: crystalline Nd6Sm3Dy2 at its relaxed geometry at the PBE-GGA level of DFT.

Output
N(E_F) = 1.538 states/eV per atom
Energy above the lowest structure with this stoichiometry = 0.265 eV/atom
Crystal system = tetragonal

abc: 4.8129 4.8129 17.3293
angles: 97.98 97.98 90.00
Element x y z (fractional)
Nd  0.8803  0.3803  0.7606
Sm  0.0000  0.0000  0.0000
Sm  0.8032  0.8032  0.6064
Sm  0.1968  0.1968  0.3936
Nd  0.3803  0.8803  0.7606
Dy  0.4549  0.4549  0.9098
Nd  0.6197  0.1197  0.2394
Nd  0.2978  0.2978  0.5956
Nd  0.1197  0.6197  0.2394
Nd  0.7022  0.7022  0.4044
Dy  0.5451  0.5451  0.0902

[20]
Computed, not measured: crystalline MnNi3Sn at its relaxed geometry at the PBE-GGA level of DFT.

Output
N(E_F) = 1.385 states/eV per atom
Energy above the lowest structure with this stoichiometry = 0.962 eV/atom
Crystal system = cubic

abc: 4.2693 4.2693 4.2693
angles: 90.00 90.00 90.00
Element x y z (fractional)
Mn  0.0000  0.0000  0.0000
Ni  0.0000  0.0000  0.5000
Ni  0.0000  0.5000  0.0000
Sn  0.5000  0.5000  0.5000
Ni  0.5000  0.0000  0.0000

[21]
Computed, not measured: crystalline Ac2BeAlPt6 at its relaxed geometry at the PBE-GGA level of DFT.

Output
N(E_F) = 0.145 states/eV per atom
Crystal system = monoclinic
Total energy = -61.26 eV/f.u.

abc: 5.9975 7.2514 7.2102
angles: 49.23 65.42 90.00
Element x y z (fractional)
Pt  0.2106  0.2593  0.0480
Pt  0.7894  0.7407  0.9520
Pt  0.7418  0.7950  0.5164
Be  0.5000  0.5000  0.0000
Pt  0.7413  0.2592  0.0481
Ac  0.7227  0.2762  0.5546
Ac  0.2773  0.7238  0.4454
Pt  0.2582  0.2050  0.4836
Pt  0.2587  0.7408  0.9519
Al  0.0000  0.0000  0.0000

[22]
Computed, not measured: crystalline PrSmP2Rh5 at its relaxed geometry at the PBE-GGA level of DFT.

Output
N(E_F) = 0.489 states/eV per atom
Crystal system = tetragonal
Total energy = -63.82 eV/f.u.

abc: 4.0778 4.0778 10.7995
angles: 90.00 90.00 90.00
Element x y z (fractional)
Sm  0.0000  0.0000  0.0000
Rh  0.0000  0.5000  0.1995
Rh  0.5000  0.5000  0.5000
Rh  0.5000  0.0000  0.8005
P  0.5000  0.5000  0.2897
Rh  0.5000  0.0000  0.1995
Pr  0.0000  0.0000  0.5000
Rh  0.0000  0.5000  0.8005
P  0.5000  0.5000  0.7103

[23]
Computed, not measured: crystalline SrZr2MnIn at its relaxed geometry at the PBE-GGA level of DFT.

Output
N(E_F) = 1.459 states/eV per atom
Crystal system = tetragonal
Total energy = -21.41 eV/f.u.

abc: 5.2280 4.4378 5.2280
angles: 90.00 90.00 90.00
Element x y z (fractional)
Zr  0.5000  0.0000  0.0000
In  0.5000  0.5000  0.5000
Mn  0.0000  0.5000  0.0000
Zr  0.0000  0.0000  0.5000
Sr  0.0000  0.0000  0.0000

[24]
Computed, not measured: crystalline AcSnPt at its relaxed geometry at the PBE-GGA level of DFT.

Output
N(E_F) = 0.330 states/eV per atom
Energy above the lowest structure with this stoichiometry = 0.235 eV/atom
Crystal system = trigonal

abc: 5.1504 5.1504 8.5179
angles: 72.40 72.40 60.00
Element x y z (fractional)
Pt  0.2569  0.2569  0.2293
Sn  0.1400  0.1400  0.5800
Ac  0.3909  0.3909  0.8272
Sn  0.8600  0.8600  0.4200
Ac  0.6091  0.6091  0.1728
Pt  0.7431  0.7431  0.7707

[25]
Computed, not measured: crystalline SnAsBr3 at its relaxed geometry at the PBE-GGA level of DFT.

Output
Formation energy without anion corrections = 86 meV/atom
N(E_F) = 1.319 states/eV per atom
Energy above the lowest structure with this stoichiometry = 0.059 eV/atom
Crystal system = cubic

abc: 5.6612 5.6612 5.6612
angles: 90.00 90.00 90.00
Each line ends with the local moment (μB).
Element x y z (fractional)
Br  0.5000  0.0000  0.0000  0.02
As  0.5000  0.5000  0.5000  1.10
Sn  0.0000  0.0000  0.0000  0.00
Br  0.0000  0.0000  0.5000  0.02
Br  0.0000  0.5000  0.0000  0.02

[26]
Computed, not measured: crystalline LaCuTc2 at its relaxed geometry at the PBE-GGA level of DFT.

Output
N(E_F) = 0.877 states/eV per atom
Energy above the lowest structure with this stoichiometry = 0.374 eV/atom
Crystal system = tetragonal

abc: 3.3465 3.3465 6.8071
angles: 90.00 90.00 90.00
Element x y z (fractional)
Tc  0.0000  0.0000  0.0828
La  0.5000  0.5000  0.7500
Cu  0.5000  0.5000  0.2500
Tc  0.0000  0.0000  0.4172